No. 1
Material: HfGeOs2
Method: DFT, GGA-PBE
State: optimized geometry

Computed properties:
For the volume, the calculation gives 15.79 A^3/atom. Its space group is No. 123. Its energy of formation is -25.50 kJ/mol of atoms. Its total energy is -9.52 eV/atom.

Lattice parameters (Å, degrees): 3.1908 3.1908 6.2019 90.00 90.00 90.00
With the nearest neighbours (Å) after each atom.
Fractional coordinates of all 4 atoms:
Hf  0.0000  0.0000  0.0000  8 Os 2.79, 2 Ge 3.10
Ge  0.0000  0.0000  0.5000  8 Os 2.69
Os  0.5000  0.5000  0.2647  4 Ge 2.69, 4 Hf 2.79, 1 Os 2.92
Os  0.5000  0.5000  0.7353  4 Ge 2.69, 4 Hf 2.79, 1 Os 2.92

No. 2
Material: Sr2LaBe
Method: DFT, GGA-PBE
State: optimized geometry

Computed properties:
For the volume, the calculation gives 35.35 A^3/atom. Its space group is No. 123. Its energy of formation is 34.79 kJ/mol of atoms. Its total energy is -2.64 eV/atom.

Lattice parameters (Å, degrees): 3.7514 3.7514 10.0471 90.00 90.00 90.00
With the nearest neighbours (Å) after each atom.
Fractional coordinates of all 4 atoms:
Sr  0.0000  0.0000  0.1831  4 Be 3.23
Sr  0.0000  0.0000  0.8169  4 Be 3.23
La  0.5000  0.5000  0.5000  4 La 3.75, 8 Sr 4.14
Be  0.5000  0.5000  0.0000  8 Sr 3.23

No. 3
Material: CoAsSe2N
Method: DFT, GGA-PBE
State: optimized geometry

Computed properties:
For the volume, the calculation gives 16.21 A^3/atom. Its space group is No. 123. The value obtained for the formation energy without anion corrections is 1.08 eV/atom. Its total energy is -4.33 eV/atom.

Lattice parameters (Å, degrees): 4.3731 4.3731 4.2391 90.00 90.00 90.00
With the nearest neighbours (Å) after each atom.
Fractional coordinates of all 5 atoms:
Co  0.0000  0.0000  0.0000  8 Se 3.05, 4 As 3.09
As  0.5000  0.5000  0.0000  2 N 2.12
Se  0.0000  0.5000  0.5000  2 N 2.19
Se  0.5000  0.0000  0.5000  2 N 2.19
N  0.5000  0.5000  0.5000  2 As 2.12, 4 Se 2.19

No. 4
Material: Dy6CdIn5
Method: DFT, GGA-PBE
State: optimized geometry

Computed properties:
For the volume, the calculation gives 28.56 A^3/atom. Its space group is No. 12. Its energy of formation is -28.79 kJ/mol of atoms. Its total energy is -3.82 eV/atom.

Lattice parameters (Å, degrees): 6.4097 6.4097 9.8917 96.25 96.25 120.19
With the nearest neighbours (Å) after each atom.
Fractional coordinates of all 12 atoms:
Dy  0.0821  0.4155  0.7483  1 Cd 3.21, 5 In 3.21-3.23
Dy  0.2488  0.2488  0.2491  5 In 3.22-3.23, 1 Cd 3.23
Dy  0.4155  0.0821  0.7483  1 Cd 3.21, 5 In 3.21-3.23
Dy  0.5845  0.9179  0.2517  1 Cd 3.21, 5 In 3.21-3.23
Dy  0.7512  0.7512  0.7509  5 In 3.22-3.23, 1 Cd 3.23
Dy  0.9179  0.5845  0.2517  1 Cd 3.21, 5 In 3.21-3.23
Cd  0.0000  0.0000  0.5000  6 Dy 3.21-3.23
In  0.1687  0.8313  0.0000  6 Dy 3.22-3.23
In  0.3353  0.6647  0.5000  6 Dy 3.21-3.22
In  0.5000  0.5000  0.0000  6 Dy 3.22-3.23
In  0.6647  0.3353  0.5000  6 Dy 3.21-3.22
In  0.8313  0.1687  0.0000  6 Dy 3.22-3.23

No. 5
Material: LiIn2Hg
Method: DFT, GGA-PBE
State: optimized geometry

Computed properties:
For the volume, the calculation gives 23.56 A^3/atom. Its space group is No. 216. Its energy of formation is -12.58 kJ/mol of atoms. Its total energy is -2.05 eV/atom.

Lattice parameters (Å, degrees): 7.2237 7.2237 7.2237 90.00 90.00 90.00
With the nearest neighbours (Å) after each atom.
Fractional coordinates of all 16 atoms:
Li  0.0000  0.0000  0.0000  4 In 3.13, 4 Hg 3.13
Li  0.0000  0.5000  0.5000  4 In 3.13, 4 Hg 3.13
Li  0.5000  0.0000  0.5000  4 In 3.13, 4 Hg 3.13
Li  0.5000  0.5000  0.0000  4 In 3.13, 4 Hg 3.13
In  0.0000  0.0000  0.5000  4 Hg 3.13, 4 In 3.13
In  0.0000  0.5000  0.0000  4 Hg 3.13, 4 In 3.13
In  0.2500  0.2500  0.2500  4 In 3.13, 4 Li 3.13
In  0.2500  0.7500  0.7500  4 In 3.13, 4 Li 3.13
In  0.5000  0.0000  0.0000  4 Hg 3.13, 4 In 3.13
In  0.5000  0.5000  0.5000  4 Hg 3.13, 4 In 3.13
In  0.7500  0.2500  0.7500  4 In 3.13, 4 Li 3.13
In  0.7500  0.7500  0.2500  4 In 3.13, 4 Li 3.13
Hg  0.2500  0.2500  0.7500  4 Li 3.13, 4 In 3.13
Hg  0.2500  0.7500  0.2500  4 Li 3.13, 4 In 3.13
Hg  0.7500  0.2500  0.2500  4 Li 3.13, 4 In 3.13
Hg  0.7500  0.7500  0.7500  4 Li 3.13, 4 In 3.13

No. 6
Material: SrCo2Ir
Method: DFT, GGA-PBE
State: optimized geometry

Computed properties:
For the volume, the calculation gives 19.98 A^3/atom. Its space group is No. 166. Its energy of formation is -1.51 kJ/mol of atoms. Its total energy is -6.20 eV/atom.

Lattice parameters (Å, degrees): 4.1839 4.1839 15.8164 90.00 90.00 120.00
With the nearest neighbours (Å) after each atom.
Fractional coordinates of all 12 atoms:
Sr  0.0000  0.0000  0.0000  2 Co 2.94
Sr  0.3333  0.6667  0.6667  2 Co 2.94
Sr  0.6667  0.3333  0.3333  2 Co 2.94
Co  0.0000  0.0000  0.1858  3 Ir 2.43, 3 Co 2.49
Co  0.0000  0.0000  0.8142  3 Ir 2.43, 3 Co 2.49
Co  0.3333  0.6667  0.4808  3 Ir 2.43, 3 Co 2.49
Co  0.3333  0.6667  0.8525  3 Ir 2.43, 3 Co 2.49
Co  0.6667  0.3333  0.1475  3 Ir 2.43, 3 Co 2.49
Co  0.6667  0.3333  0.5192  3 Ir 2.43, 3 Co 2.49
Ir  0.0000  0.0000  0.5000  6 Co 2.43
Ir  0.3333  0.6667  0.1667  6 Co 2.43
Ir  0.6667  0.3333  0.8333  6 Co 2.43

No. 7
Material: K2Al2Au3
Method: DFT, GGA-PBE
State: optimized geometry

Computed properties:
For the volume, the calculation gives 25.47 A^3/atom. Its space group is No. 2. Its energy of formation is -29.37 kJ/mol of atoms. Its total energy is -3.09 eV/atom.

Lattice parameters (Å, degrees): 4.8642 6.0648 6.7865 77.22 89.98 66.55
With the nearest neighbours (Å) after each atom.
Fractional coordinates of all 7 atoms:
K  0.1450  0.2090  0.3465  3 Au 3.18-3.23
K  0.8550  0.7910  0.6535  3 Au 3.18-3.23
Al  0.4098  0.6804  0.1118  4 Au 2.58-2.63, 1 Al 2.79
Al  0.5902  0.3196  0.8882  4 Au 2.58-2.63, 1 Al 2.79
Au  0.1797  0.1401  0.8948  3 Al 2.62-2.63
Au  0.5000  0.5000  0.5000  2 Al 2.58
Au  0.8203  0.8599  0.1052  3 Al 2.62-2.63

No. 8
Material: FeCoNiPt
Method: DFT, GGA-PBE
State: optimized geometry

Computed properties:
For the volume, the calculation gives 12.67 A^3/atom. Its space group is No. 216. Its energy of formation is -1.58 kJ/mol of atoms. Its total energy is -6.86 eV/atom.

Lattice parameters (Å, degrees): 5.8742 5.8742 5.8742 90.00 90.00 90.00
With the nearest neighbours (Å) after each atom.
Fractional coordinates of all 16 atoms:
Fe  0.0000  0.0000  0.0000  4 Co 2.54, 4 Ni 2.54
Fe  0.0000  0.5000  0.5000  4 Co 2.54, 4 Ni 2.54
Fe  0.5000  0.0000  0.5000  4 Co 2.54, 4 Ni 2.54
Fe  0.5000  0.5000  0.0000  4 Co 2.54, 4 Ni 2.54
Co  0.2500  0.2500  0.2500  4 Fe 2.54, 4 Pt 2.54
Co  0.2500  0.7500  0.7500  4 Pt 2.54, 4 Fe 2.54
Co  0.7500  0.2500  0.7500  4 Pt 2.54, 4 Fe 2.54
Co  0.7500  0.7500  0.2500  4 Pt 2.54, 4 Fe 2.54
Ni  0.2500  0.2500  0.7500  4 Fe 2.54, 4 Pt 2.54
Ni  0.2500  0.7500  0.2500  4 Fe 2.54, 4 Pt 2.54
Ni  0.7500  0.2500  0.2500  4 Fe 2.54, 4 Pt 2.54
Ni  0.7500  0.7500  0.7500  4 Fe 2.54, 4 Pt 2.54
Pt  0.0000  0.0000  0.5000  4 Co 2.54, 4 Ni 2.54
Pt  0.0000  0.5000  0.0000  4 Ni 2.54, 4 Co 2.54
Pt  0.5000  0.0000  0.0000  4 Ni 2.54, 4 Co 2.54
Pt  0.5000  0.5000  0.5000  4 Co 2.54, 4 Ni 2.54

No. 9
Material: LiSe7
Method: DFT, GGA-PBE
State: optimized geometry

Computed properties:
For the volume, the calculation gives 20.28 A^3/atom. Its space group is No. 225. The value obtained for the formation energy without anion corrections is 0.37 eV/atom. Its total energy is -2.92 eV/atom.

Lattice parameters (Å, degrees): 6.1218 6.1218 6.1218 60.00 60.00 60.00
With the nearest neighbours (Å) after each atom.
Fractional coordinates of all 8 atoms:
Li  0.0000  0.0000  0.0000  12 Se 3.06
Se  0.0000  0.0000  0.5000  10 Se 3.06, 2 Li 3.06
Se  0.0000  0.5000  0.0000  10 Se 3.06, 2 Li 3.06
Se  0.0000  0.5000  0.5000  10 Se 3.06, 2 Li 3.06
Se  0.5000  0.0000  0.0000  10 Se 3.06, 2 Li 3.06
Se  0.5000  0.0000  0.5000  10 Se 3.06, 2 Li 3.06
Se  0.5000  0.5000  0.0000  10 Se 3.06, 2 Li 3.06
Se  0.5000  0.5000  0.5000  12 Se 3.06

No. 10
Material: K2Tl3Pt
Method: DFT, GGA-PBE
State: optimized geometry

Computed properties:
For the volume, the calculation gives 31.66 A^3/atom. Its space group is No. 69. Its energy of formation is -7.87 kJ/mol of atoms. Its total energy is -2.64 eV/atom.

Lattice parameters (Å, degrees): 10.5037 9.8894 6.6136 76.20 66.11 37.70
With the nearest neighbours (Å) after each atom.
Fractional coordinates of all 12 atoms:
K  0.2331  0.7669  0.7669  10 Tl 3.58-3.79, 2 Pt 3.66, 1 K 3.68
K  0.2500  0.2500  0.2500  8 Tl 3.53-3.54, 4 Pt 3.65, 2 K 3.95
K  0.7500  0.7500  0.7500  8 Tl 3.53-3.54, 4 Pt 3.65, 2 K 3.95
K  0.7669  0.2331  0.2331  10 Tl 3.58-3.79, 2 Pt 3.66, 1 K 3.68
Tl  0.1809  0.1809  0.8191  1 Pt 2.79
Tl  0.1841  0.6380  0.3620  1 Pt 2.78
Tl  0.3620  0.8159  0.1841  1 Pt 2.78
Tl  0.6380  0.1841  0.8159  1 Pt 2.78
Tl  0.8159  0.3620  0.6380  1 Pt 2.78
Tl  0.8191  0.8191  0.1809  1 Pt 2.79
Pt  0.3349  0.3349  0.6651  3 Tl 2.78-2.79
Pt  0.6651  0.6651  0.3349  3 Tl 2.78-2.79

No. 11
Material: Pr3Zn4Co2
Method: DFT, GGA-PBE
State: optimized geometry

Computed properties:
For the volume, the calculation gives 20.94 A^3/atom. Its space group is No. 12. Its energy of formation is -20.04 kJ/mol of atoms. Its total energy is -3.95 eV/atom.

Lattice parameters (Å, degrees): 5.9841 5.9841 8.5321 108.85 108.85 41.09
With the nearest neighbours (Å) after each atom.
Fractional coordinates of all 9 atoms:
Pr  0.0000  0.0000  0.0000  4 Co 3.04, 8 Zn 3.04-3.37
Pr  0.3180  0.3180  0.3505  3 Co 3.04-3.06, 8 Zn 3.15-3.38
Pr  0.6820  0.6820  0.6495  3 Co 3.04-3.06, 8 Zn 3.15-3.38
Zn  0.0406  0.0406  0.3717  2 Co 2.49, 1 Zn 2.65
Zn  0.2824  0.2824  0.9404  1 Co 2.49, 2 Zn 2.55
Zn  0.7176  0.7176  0.0596  1 Co 2.49, 2 Zn 2.55
Zn  0.9594  0.9594  0.6283  2 Co 2.49, 1 Zn 2.65
Co  0.3911  0.3911  0.7309  3 Zn 2.49
Co  0.6089  0.6089  0.2691  3 Zn 2.49

No. 12
Material: Pa2TaRu9
Method: DFT, GGA-PBE
State: optimized geometry

Computed properties:
For the volume, the calculation gives 15.97 A^3/atom. Its space group is No. 123. Its energy of formation is -30.04 kJ/mol of atoms. Its total energy is -9.84 eV/atom.

Lattice parameters (Å, degrees): 4.0070 4.0070 11.9391 90.00 90.00 90.00
With the nearest neighbours (Å) after each atom.
Fractional coordinates of all 12 atoms:
Pa  0.0000  0.0000  0.1703  12 Ru 2.83-2.89
Pa  0.0000  0.0000  0.8297  12 Ru 2.83-2.89
Ta  0.0000  0.0000  0.5000  12 Ru 2.73-2.83
Ru  0.0000  0.5000  0.0000  8 Ru 2.83-2.87, 4 Pa 2.85
Ru  0.0000  0.5000  0.3450  2 Ta 2.73, 8 Ru 2.73-2.88, 2 Pa 2.89
Ru  0.0000  0.5000  0.6550  2 Ta 2.73, 8 Ru 2.73-2.88, 2 Pa 2.89
Ru  0.5000  0.0000  0.0000  8 Ru 2.83-2.87, 4 Pa 2.85
Ru  0.5000  0.0000  0.3450  2 Ta 2.73, 8 Ru 2.73-2.88, 2 Pa 2.89
Ru  0.5000  0.0000  0.6550  2 Ta 2.73, 8 Ru 2.73-2.88, 2 Pa 2.89
Ru  0.5000  0.5000  0.1720  4 Pa 2.83, 8 Ru 2.87-2.88
Ru  0.5000  0.5000  0.5000  8 Ru 2.73, 4 Ta 2.83
Ru  0.5000  0.5000  0.8280  4 Pa 2.83, 8 Ru 2.87-2.88